# 1
# AlCu3 (SCAN, single point on PBEsol structure)
data_AlCu3
_space_group_name_H-M_alt 'P m m 2'
_space_group_IT_number 25
_cell_length_a 2.681
_cell_length_b 4.134
_cell_length_c 4.326
_cell_angle_alpha 90.00
_cell_angle_beta 90.00
_cell_angle_gamma 90.00
loop_
_space_group_symop_operation_xyz
'x,y,z'
'-x,-y,z'
'-x,y,z'
'x,-y,z'
loop_
_atom_site_label
_atom_site_type_symbol
_atom_site_fract_x
_atom_site_fract_y
_atom_site_fract_z
_atom_site_occupancy
Al1 Al 0.000 0.000 0.000 1
Cu1 Cu 0.000 0.500 0.362 1
Cu2 Cu 0.500 0.000 0.501 1
Cu3 Cu 0.500 0.500 0.858 1
# * N(E_F): 1.165 states/eV/cell
# * M_tot: 0.0 μB per formula unit
# * final energy: -13.545 eV per atom


# 2
# SiPt2W (SCAN, single point on PBEsol structure)
data_SiPt2W
_space_group_name_H-M_alt 'C 1 m 1'
_space_group_IT_number 8
_cell_length_a 9.258
_cell_length_b 2.726
_cell_length_c 4.907
_cell_angle_alpha 90.00
_cell_angle_beta 108.24
_cell_angle_gamma 90.00
loop_
_space_group_symop_operation_xyz
'x,y,z'
'x,-y,z'
'x+1/2,y+1/2,z'
'x+1/2,-y+1/2,z'
loop_
_atom_site_label
_atom_site_type_symbol
_atom_site_fract_x
_atom_site_fract_y
_atom_site_fract_z
_atom_site_occupancy
Si1 Si 0.000 0.000 0.000 1
Pt1 Pt 0.021 0.500 0.448 1
Pt2 Pt 0.233 0.500 0.135 1
W1 W 0.287 0.000 0.657 1
# * N(E_F): 3.032 states/eV/cell
# * M_tot: 0.0 μB per formula unit
# * E_form (uncorrected): -0.327 eV per atom
# * final energy: -55.350 eV per atom


# 3
# Ni2MoAu (SCAN, single point on PBEsol structure)
data_Ni2MoAu
_space_group_name_H-M_alt 'P 4/m m m'
_space_group_IT_number 123
_space_group_name_Hall '-P 4 2'
_cell_length_a 2.680
_cell_length_b 2.680
_cell_length_c 7.347
_cell_angle_alpha 90.00
_cell_angle_beta 90.00
_cell_angle_gamma 90.00
loop_
_atom_site_label
_atom_site_type_symbol
_atom_site_fract_x
_atom_site_fract_y
_atom_site_fract_z
_atom_site_occupancy
Ni1 Ni 0.000 0.000 0.239 1
Mo1 Mo 0.500 0.500 0.000 1
Au1 Au 0.500 0.500 0.500 1
# * N(E_F): 2.542 states/eV/cell
# * M_tot: 0.0 μB per formula unit
# * final energy: -34.049 eV per atom


# 4
# SbMoI2Cl (SCAN, single point on PBEsol structure)
data_SbMoI2Cl
_space_group_name_H-M_alt 'P 4/m m m'
_space_group_IT_number 123
_space_group_name_Hall '-P 4 2'
_cell_length_a 5.267
_cell_length_b 5.267
_cell_length_c 5.275
_cell_angle_alpha 90.00
_cell_angle_beta 90.00
_cell_angle_gamma 90.00
loop_
_atom_site_label
_atom_site_type_symbol
_atom_site_fract_x
_atom_site_fract_y
_atom_site_fract_z
_atom_site_occupancy
Sb1 Sb 0.000 0.000 0.000 1
Mo1 Mo 0.000 0.000 0.500 1
I1 I 0.000 0.500 0.500 1
Cl1 Cl 0.500 0.500 0.000 1
# * ΔE to the lowest computed polymorph: 0 meV per atom
# * N(E_F): 3.971 states/eV/cell
# * M_tot: 0.0 μB per formula unit
# * E_form (uncorrected): 0.337 eV per atom
# * final energy: -30.384 eV per atom


# 5
# YZn2HPt (SCAN, single point on PBEsol structure)
data_YZn2HPt
_space_group_name_H-M_alt 'P 4/m m m'
_space_group_IT_number 123
_space_group_name_Hall '-P 4 2'
_cell_length_a 4.738
_cell_length_b 4.738
_cell_length_c 5.220
_cell_angle_alpha 90.00
_cell_angle_beta 90.00
_cell_angle_gamma 90.00
loop_
_atom_site_label
_atom_site_type_symbol
_atom_site_fract_x
_atom_site_fract_y
_atom_site_fract_z
_atom_site_occupancy
Y1 Y 0.000 0.000 0.000 1
Zn1 Zn 0.000 0.500 0.500 1
H1 H 0.500 0.500 0.000 1
Pt1 Pt 0.000 0.000 0.500 1
# * N(E_F): 1.863 states/eV/cell
# * M_tot: 0.1 μB per formula unit
# * final energy: -25.750 eV per atom


# 6
# FeTcBr2 (SCAN, single point on PBEsol structure)
data_FeTcBr2
_space_group_name_H-M_alt 'P 4/m m m'
_space_group_IT_number 123
_space_group_name_Hall '-P 4 2'
_cell_length_a 4.476
_cell_length_b 4.476
_cell_length_c 3.138
_cell_angle_alpha 90.00
_cell_angle_beta 90.00
_cell_angle_gamma 90.00
loop_
_atom_site_label
_atom_site_type_symbol
_atom_site_fract_x
_atom_site_fract_y
_atom_site_fract_z
_atom_site_occupancy
Fe1 Fe 0.000 0.000 0.000 1
Tc1 Tc 0.500 0.500 0.000 1
Br1 Br 0.000 0.500 0.500 1
# * ΔE to the lowest computed polymorph: 543 meV per atom
# * N(E_F): 2.679 states/eV/cell
# * M_tot: 4.2 μB per formula unit
# * E_form (uncorrected): 0.932 eV per atom
# * final energy: -22.095 eV per atom


# 7
# SrTcAg (SCAN, single point on PBEsol structure)
data_SrTcAg
_space_group_name_H-M_alt 'F -4 3 m'
_space_group_IT_number 216
_space_group_name_Hall 'F -4 2 3'
_cell_length_a 6.800
_cell_length_b 6.800
_cell_length_c 6.800
_cell_angle_alpha 90.00
_cell_angle_beta 90.00
_cell_angle_gamma 90.00
loop_
_atom_site_label
_atom_site_type_symbol
_atom_site_fract_x
_atom_site_fract_y
_atom_site_fract_z
_atom_site_occupancy
Sr1 Sr 0.000 0.000 0.000 1
Tc1 Tc 0.250 0.250 0.250 1
Ag1 Ag 0.250 0.250 0.750 1
# * N(E_F): 8.404 states/eV/cell
# * M_tot: 3.1 μB per formula unit
# * final energy: -28.106 eV per atom


# 8
# TlPIN2 (SCAN, single point on PBEsol structure)
data_TlPIN2
_space_group_name_H-M_alt 'P 4/m m m'
_space_group_IT_number 123
_space_group_name_Hall '-P 4 2'
_cell_length_a 3.937
_cell_length_b 3.937
_cell_length_c 5.551
_cell_angle_alpha 90.00
_cell_angle_beta 90.00
_cell_angle_gamma 90.00
loop_
_atom_site_label
_atom_site_type_symbol
_atom_site_fract_x
_atom_site_fract_y
_atom_site_fract_z
_atom_site_occupancy
Tl1 Tl 0.000 0.000 0.000 1
P1 P 0.500 0.500 0.500 1
I1 I 0.500 0.500 0.000 1
N1 N 0.000 0.500 0.500 1
# * N(E_F): 1.600 states/eV/cell
# * M_tot: 1.3 μB per formula unit
# * E_form (uncorrected): 1.413 eV per atom
# * final energy: -26.203 eV per atom


# 9
# TiTcAsBr2 (SCAN, single point on PBEsol structure)
data_TiTcAsBr2
_space_group_name_H-M_alt 'P 4/m m m'
_space_group_IT_number 123
_space_group_name_Hall '-P 4 2'
_cell_length_a 5.041
_cell_length_b 5.041
_cell_length_c 4.678
_cell_angle_alpha 90.00
_cell_angle_beta 90.00
_cell_angle_gamma 90.00
loop_
_atom_site_label
_atom_site_type_symbol
_atom_site_fract_x
_atom_site_fract_y
_atom_site_fract_z
_atom_site_occupancy
Ti1 Ti 0.000 0.000 0.000 1
Tc1 Tc 0.500 0.500 0.500 1
As1 As 0.500 0.500 0.000 1
Br1 Br 0.000 0.500 0.500 1
# * N(E_F): 3.986 states/eV/cell
# * M_tot: 2.3 μB per formula unit
# * E_form (uncorrected): 0.485 eV per atom
# * final energy: -21.555 eV per atom


# 10
# SrAuNO2 (SCAN, single point on PBEsol structure)
data_SrAuNO2
_space_group_name_H-M_alt 'P 4/m m m'
_space_group_IT_number 123
_space_group_name_Hall '-P 4 2'
_cell_length_a 4.503
_cell_length_b 4.503
_cell_length_c 4.808
_cell_angle_alpha 90.00
_cell_angle_beta 90.00
_cell_angle_gamma 90.00
loop_
_atom_site_label
_atom_site_type_symbol
_atom_site_fract_x
_atom_site_fract_y
_atom_site_fract_z
_atom_site_occupancy
Sr1 Sr 0.000 0.000 0.000 1
Au1 Au 0.500 0.500 0.500 1
N1 N 0.000 0.000 0.500 1
O1 O 0.000 0.500 0.000 1
# * N(E_F): 2.422 states/eV/cell
# * M_tot: 4.1 μB per formula unit
# * E_form (uncorrected): 0.831 eV per atom
# * final energy: -21.806 eV per atom


# 11
# Te2RuCl (SCAN, single point on PBEsol structure)
data_Te2RuCl
_space_group_name_H-M_alt 'P 4 m m'
_space_group_IT_number 99
_cell_length_a 3.100
_cell_length_b 3.100
_cell_length_c 9.770
_cell_angle_alpha 90.00
_cell_angle_beta 90.00
_cell_angle_gamma 90.00
loop_
_space_group_symop_operation_xyz
'x,y,z'
'-y,x,z'
'-x,-y,z'
'y,-x,z'
'-x,y,z'
'y,x,z'
'x,-y,z'
'-y,-x,z'
loop_
_atom_site_label
_atom_site_type_symbol
_atom_site_fract_x
_atom_site_fract_y
_atom_site_fract_z
_atom_site_occupancy
Te1 Te 0.000 0.000 0.000 1
Te2 Te 0.500 0.500 0.332 1
Ru1 Ru 0.500 0.500 0.846 1
Cl1 Cl 0.000 0.000 0.675 1
# * ΔE to the lowest computed polymorph: 287 meV per atom
# * N(E_F): 3.307 states/eV/cell
# * M_tot: 0.0 μB per formula unit
# * E_form (uncorrected): 0.054 eV per atom
# * final energy: -29.272 eV per atom


# 12
# Ca2LaCu2 (SCAN, single point on PBEsol structure)
data_Ca2LaCu2
_space_group_name_H-M_alt 'P 4/m b m'
_space_group_IT_number 127
_space_group_name_Hall '-P 4 2ab'
_cell_length_a 7.502
_cell_length_b 7.502
_cell_length_c 4.479
_cell_angle_alpha 90.00
_cell_angle_beta 90.00
_cell_angle_gamma 90.00
loop_
_atom_site_label
_atom_site_type_symbol
_atom_site_fract_x
_atom_site_fract_y
_atom_site_fract_z
_atom_site_occupancy
Ca1 Ca 0.166 0.334 0.000 1
La1 La 0.000 0.000 0.500 1
Cu1 Cu 0.116 0.616 0.500 1
# * ΔE to the lowest computed polymorph: 0 meV per atom
# * N(E_F): 8.220 states/eV/cell
# * M_tot: 0.0 μB per formula unit
# * final energy: -18.649 eV per atom


# 13
# FeSiMo (SCAN, single point on PBEsol structure)
data_FeSiMo
_space_group_name_H-M_alt 'A m m 2'
_space_group_IT_number 38
_cell_length_a 7.421
_cell_length_b 4.755
_cell_length_c 8.189
_cell_angle_alpha 90.00
_cell_angle_beta 90.00
_cell_angle_gamma 90.00
loop_
_space_group_symop_operation_xyz
'x,y,z'
'-x,-y,z'
'-x,y,z'
'x,-y,z'
'x,y+1/2,z+1/2'
'-x,-y+1/2,z+1/2'
'-x,y+1/2,z+1/2'
'x,-y+1/2,z+1/2'
loop_
_atom_site_label
_atom_site_type_symbol
_atom_site_fract_x
_atom_site_fract_y
_atom_site_fract_z
_atom_site_occupancy
Fe1 Fe 0.000 0.242 0.000 1
Fe2 Fe 0.256 0.000 0.589 1
Si1 Si 0.000 0.000 0.754 1
Si2 Si 0.500 0.000 0.423 1
Si3 Si 0.500 0.248 0.175 1
Mo1 Mo 0.189 0.000 0.257 1
Mo2 Mo 0.320 0.000 0.923 1
# * N(E_F): 13.770 states/eV/cell
# * M_tot: 1.5 μB per formula unit
# * E_form (uncorrected): -0.243 eV per atom
# * final energy: -21.254 eV per atom